[1]
Computed, not measured: crystalline ScCoOs2 at its relaxed geometry at the GGA-PBE level of DFT.

a = 2.795 Å, b = 3.813 Å, c = 5.577 Å
α = 90.00°, β = 90.00°, γ = 90.00°
Positions (direct):
Sc  0.000  0.000  0.000
Co  0.500  0.500  0.245
Os  0.000  0.000  0.492
Os  0.500  0.500  0.699

The excess energy over the best structure of this formula in the dataset is 0.0715 eV per atom. The density of states at the Fermi level comes out at 4.85 states/eV per cell.

[2]
Computed, not measured: crystalline YPa2B6 at its relaxed geometry at the GGA-PBE level of DFT.

a = 5.600 Å, b = 5.600 Å, c = 4.017 Å
α = 90.00°, β = 90.00°, γ = 120.00°
Positions (direct):
Y  0.000  0.000  0.000
Pa  0.333  0.667  0.000
Pa  0.667  0.333  0.000
B  0.000  0.336  0.500
B  0.000  0.664  0.500
B  0.336  0.000  0.500
B  0.336  0.336  0.500
B  0.664  0.000  0.500
B  0.664  0.664  0.500

The density of states at the Fermi level comes out at 4.07 states/eV per cell.

Result set for total energy: -35.79; -70.75 eV per cell, one per record in the order listed.